# 1
16
Lattice="-2.928 4.401 3.806 -6.145 -4.975 1.025 2.556 -2.223 4.537" Properties=species:S:1:pos:R:3 comment="SrHfNO (PBE, optimized geometry)" total_magnetization_mub_per_cell=3.192 de_polymorph_mev_per_atom=272 pbc="T T T"
Sr -5.298 -0.233 6.595
N -6.841 0.844 4.350
O -4.393 -5.743 4.280
O -0.410 0.867 5.275
Hf -5.247 -3.717 4.738
Hf -5.638 -3.939 1.316
N -4.393 -2.026 5.098
N -3.344 0.289 2.107
O -2.617 3.375 4.214
N -0.896 -2.581 2.855
Hf -2.108 2.210 5.874
Sr -2.153 -1.074 4.412
Hf -2.498 1.988 2.452
Sr -5.504 -0.732 2.934
O -6.600 -3.235 3.219
Sr -2.359 -1.573 0.751

# 2
6
Lattice="2.694 -1.572 5.216 -3.305 -0.611 5.064 -0.944 -5.518 2.366" Properties=species:S:1:pos:R:3 comment="Dy2Be (PBE, optimized geometry)" total_magnetization_mub_per_cell=0.013 de_polymorph_mev_per_atom=0 pbc="T T T"
Dy -0.500 -2.054 6.721
Be 0.000 0.000 0.000
Dy -2.319 -4.027 5.296
Dy -0.972 -4.813 7.904
Be -0.389 -1.925 3.162
Dy 0.681 -4.508 5.372

# 3
5
Lattice="-1.867 1.867 6.445 1.867 -1.867 6.445 1.867 1.867 -6.445" Properties=species:S:1:pos:R:3 comment="HfAl2Mo2 (PBE, optimized geometry)" e_tot_ev_per_cell=-38.1 total_magnetization_mub_per_cell=0.006 pbc="T T T"
Al 0.000 1.867 3.223
Mo 0.000 0.000 5.192
Hf 0.000 0.000 0.000
Mo 0.000 0.000 7.699
Al 1.867 0.000 3.223

# 4
3
Lattice="0.000 3.008 3.008 3.008 0.000 3.008 3.008 3.008 0.000" Properties=species:S:1:pos:R:3 comment="CoSbOs (PBE, optimized geometry)" total_magnetization_mub_per_cell=1.744 de_polymorph_mev_per_atom=0 pbc="T T T"
Os 0.000 0.000 0.000
Sb 4.511 4.511 4.511
Co 1.504 1.504 1.504

# 5
11
Lattice="-1.914 7.758 4.773 1.914 -7.758 4.773 1.914 7.758 -4.773" Properties=species:S:1:pos:R:3 comment="Dy3Y2Lu2Ni2Te2 (PBE, optimized geometry)" total_magnetization_mub_per_cell=0.013 de_polymorph_mev_per_atom=17 pbc="T T T"
Dy 0.000 2.886 0.920
Ni 1.914 3.649 -0.928
Dy 0.000 12.630 0.920
Y 1.914 -2.032 3.778
Te 0.000 0.000 2.295
Te 0.000 7.758 1.369
Y 1.914 2.032 3.778
Lu 1.914 5.474 2.373
Ni 0.000 4.109 3.845
Lu 0.000 2.284 7.146
Dy 0.000 7.758 4.540

# 6
10
Lattice="7.216 0.000 0.000 0.000 7.216 0.000 0.000 0.000 3.674" Properties=species:S:1:pos:R:3 comment="Au (PBE, optimized geometry)" delta_e_f_mev_per_atom=115.9 de_polymorph_mev_per_atom=116 pbc="T T T"
Au 1.151 4.759 1.837
Au 2.457 1.151 1.837
Au 2.600 6.208 0.000
Au 4.617 1.008 0.000
Au 1.008 2.600 0.000
Au 0.000 0.000 0.000
Au 6.208 4.617 0.000
Au 4.759 6.065 1.837
Au 6.065 2.457 1.837
Au 3.608 3.608 0.000

# 7
4
Lattice="4.199 0.648 1.151 1.417 4.054 0.964 1.006 1.050 4.154" Properties=species:S:1:pos:R:3 comment="Zn2MoPd (PBE, optimized geometry)" delta_e_f_mev_per_atom=113.1 total_magnetization_mub_per_cell=1.620 pbc="T T T"
Mo 4.967 4.315 4.702
Zn 1.656 1.438 1.567
Pd 0.000 0.000 0.000
Zn 3.311 2.876 3.134

# 8
9
Lattice="-6.362 -2.712 -0.641 1.391 -2.688 -2.429 0.701 -2.353 3.005" Properties=species:S:1:pos:R:3 comment="Lu2Ir2O5 (PBE, optimized geometry)" total_magnetization_mub_per_cell=0.000 de_polymorph_mev_per_atom=0 pbc="T T T"
Lu -3.181 -1.356 -0.320
Ir -0.173 -3.040 0.165
O -1.265 -1.865 1.340
O -0.920 -2.032 -1.377
O -2.135 -3.877 -0.032
Lu 0.000 0.000 0.000
O -4.397 -3.200 1.025
Ir -4.098 -4.713 -0.230
O -4.052 -3.368 -1.692

# 9
9
Lattice="1.966 2.506 4.491 -2.268 3.299 3.780 -2.059 -7.394 4.014" Properties=species:S:1:pos:R:3 comment="Pr2NdIn2Ni4 (PBE, optimized geometry)" e_tot_ev_per_cell=-45.4 total_magnetization_mub_per_cell=0.001 pbc="T T T"
Ni -1.054 2.583 9.158
In -0.550 0.260 3.566
Pr -0.975 0.825 6.725
Pr -1.386 -2.414 5.561
Ni -0.387 3.649 6.377
In -1.811 -1.849 8.721
Ni -1.307 -4.172 3.128
Nd 0.000 0.000 0.000
Ni -1.973 -5.238 5.909

# 10
8
Lattice="4.758 0.000 0.000 0.000 4.758 0.000 0.000 0.000 6.729" Properties=species:S:1:pos:R:3 comment="Li2InAg2PbAu2 (PBE, optimized geometry)" e_tot_ev_per_cell=-24.6 pbc="T T T"
Li 0.000 0.000 3.364
Li 2.379 2.379 0.000
Ag 0.000 2.379 1.591
Au 0.000 2.379 5.174
Ag 2.379 0.000 5.138
In 0.000 0.000 0.000
Au 2.379 0.000 1.555
Pb 2.379 2.379 3.364

# 11
3
Lattice="0.000 3.689 3.689 3.689 0.000 3.689 3.689 3.689 0.000" Properties=species:S:1:pos:R:3 comment="NpTePb (PBE, optimized geometry)" e_tot_ev_per_cell=-19.2 total_magnetization_mub_per_cell=4.984 pbc="T T T"
Pb 5.533 5.533 5.533
Te 0.000 0.000 0.000
Np 1.844 1.844 1.844

# 12
16
Lattice="6.159 0.000 0.000 0.000 6.159 0.000 0.000 0.000 6.159" Properties=species:S:1:pos:R:3 comment="Cu2SiAs (PBE, optimized geometry)" e_tot_ev_per_cell=-65.4 pbc="T T T"
Cu 4.519 4.519 1.640
Si 3.080 3.080 0.000
Si 0.000 3.080 3.080
As 0.000 0.000 3.080
Cu 4.519 4.519 4.519
Si 3.080 3.080 3.080
As 0.000 0.000 0.000
Cu 1.640 4.519 4.519
Cu 1.640 1.640 4.519
As 3.080 0.000 0.000
Cu 4.519 1.640 1.640
Si 3.080 0.000 3.080
Cu 4.519 1.640 4.519
Cu 1.640 1.640 1.640
Cu 1.640 4.519 1.640
As 0.000 3.080 0.000